Here is an optimized crystal structure of BaAcMoO5 from Alexandria via LeMat-Bulk. Energies are from PBE+U. Values from VASP.

Calculated values
- crystal system = monoclinic
- total magnetic moment (μB/f.u.) = 1.00
- final energy (eV per atom) = -7.2149

Quantum ESPRESSO input file:
```
&SYSTEM
  ibrav = 0, nat = 16, ntyp = 4
/
ATOMIC_SPECIES
Ba 137.33 Ba.upf
Ac 227.00 Ac.upf
Mo 95.94 Mo.upf
O 16.00 O.upf
ATOMIC_POSITIONS crystal
Ba 0.3284 0.6716 0.2500
Ba 0.6716 0.3284 0.7500
Ac 0.0000 0.0000 0.5000
Ac 0.0000 0.0000 0.0000
Mo 0.6756 0.3244 0.2500
Mo 0.3244 0.6756 0.7500
O 0.0980 0.9020 0.2500
O 0.9020 0.0980 0.7500
O 0.8895 0.3212 0.1314
O 0.1105 0.6788 0.8686
O 0.6788 0.1105 0.3686
O 0.3212 0.8895 0.6314
O 0.7129 0.5834 0.4113
O 0.2871 0.4166 0.5887
O 0.4166 0.2871 0.0887
O 0.5834 0.7129 0.9113
CELL_PARAMETERS angstrom
-2.5852 -0.8482 5.9980
-0.0517 -5.7372 -3.2342
8.1832 0.8223 1.8101
```